(1)
! PBEsol Zr2ScAl, optimized geometry; values from VASP
&SYSTEM
  ibrav = 0, nat = 4, ntyp = 3
/
ATOMIC_SPECIES
Zr 91.22 Zr.upf
Al 26.98 Al.upf
Sc 44.96 Sc.upf
ATOMIC_POSITIONS crystal
Zr 0.246 0.246 0.262
Zr 0.754 0.754 0.738
Al 0.500 0.500 0.500
Sc 0.000 0.000 0.000
CELL_PARAMETERS angstrom
3.099 0.000 0.000
1.549 2.684 0.000
1.549 0.895 10.122
! - Spin magnetization: 0.00 μB per formula unit
! - Space group: No. 166
! - Energy of formation from the pure elements: -65 meV/atom

(2)
! PBEsol Ca2MoPd2, optimized geometry; values from VASP
&SYSTEM
  ibrav = 0, nat = 5, ntyp = 3
/
ATOMIC_SPECIES
Ca 40.08 Ca.upf
Pd 106.42 Pd.upf
Mo 95.94 Mo.upf
ATOMIC_POSITIONS crystal
Ca 0.613 0.613 0.226
Ca 0.387 0.387 0.774
Pd 0.750 0.250 0.500
Pd 0.250 0.750 0.500
Mo 0.000 0.000 0.000
CELL_PARAMETERS angstrom
3.662 0.000 0.000
0.000 3.662 0.000
-1.831 -1.831 8.392
! - Spin magnetization: 3.24 μB per formula unit
! - Space group: No. 139
! - Energy of formation from the pure elements: 505 meV/atom

(3)
! PBEsol BaMnW, optimized geometry; values from VASP
&SYSTEM
  ibrav = 0, nat = 3, ntyp = 3
/
ATOMIC_SPECIES
Mn 54.94 Mn.upf
W 183.84 W.upf
Ba 137.33 Ba.upf
ATOMIC_POSITIONS crystal
Mn 0.333 0.667 0.500
W 0.667 0.333 0.500
Ba 0.000 0.000 0.000
CELL_PARAMETERS angstrom
3.925 0.000 0.000
-1.963 3.399 0.000
0.000 0.000 5.503
! - Spin magnetization: 0.00 μB per formula unit
! - Space group: No. 187
! - Energy of formation from the pure elements: 1091 meV/atom

(4)
! PBEsol AgF2, optimized geometry; values from VASP
&SYSTEM
  ibrav = 0, nat = 6, ntyp = 2
/
ATOMIC_SPECIES
F 19.00 F.upf
Ag 107.87 Ag.upf
ATOMIC_POSITIONS crystal
F 0.062 0.299 0.708
F 0.938 0.701 0.292
F 0.438 0.201 0.208
F 0.562 0.799 0.792
Ag 0.500 0.500 0.500
Ag 0.000 0.000 0.000
CELL_PARAMETERS angstrom
3.608 0.050 0.000
-0.393 4.815 0.000
0.000 0.000 5.094
! - Spin magnetization: 0.00 μB per formula unit
! - Formation energy (no corrections): -1123.5 meV per atom
! - Space group: No. 14

(5)
! PBEsol LaMn3Ni, optimized geometry; values from VASP
&SYSTEM
  ibrav = 0, nat = 5, ntyp = 3
/
ATOMIC_SPECIES
Mn 54.94 Mn.upf
Ni 58.69 Ni.upf
La 138.91 La.upf
ATOMIC_POSITIONS crystal
Mn 0.500 0.000 0.000
Mn 0.000 0.000 0.500
Mn 0.000 0.500 0.000
Ni 0.500 0.500 0.500
La 0.000 0.000 0.000
CELL_PARAMETERS angstrom
4.417 0.000 0.000
0.000 4.417 0.000
0.000 0.000 4.417
! - Spin magnetization: 6.84 μB per formula unit
! - Space group: No. 221
! - Energy of formation from the pure elements: 2000 meV/atom

(6)
! PBEsol BaPt2Au, optimized geometry; values from VASP
&SYSTEM
  ibrav = 0, nat = 4, ntyp = 3
/
ATOMIC_SPECIES
Ba 137.33 Ba.upf
Pt 195.08 Pt.upf
Au 196.97 Au.upf
ATOMIC_POSITIONS crystal
Ba 0.749 0.749 0.753
Pt 0.938 0.938 0.186
Pt 0.259 0.259 0.222
Au 0.559 0.559 0.323
CELL_PARAMETERS angstrom
4.576 0.000 0.000
2.288 3.963 0.000
2.288 1.321 5.397
! - Spin magnetization: 0.00 μB per formula unit
! - Offset from the most stable computed form: 10.0 meV per atom
! - Space group: No. 160
! - Energy of formation from the pure elements: -474 meV/atom